Arrangement i

{
  "formula": "BaCdCl",
  "functional": "SCAN",
  "state": "single point on PBEsol structure",
  "lattice_angstrom": [[-2.716, 4.147, -1.702], [-4.143, -0.688, -3.136], [-4.836, 0.889, 1.814]],
  "species": ["Ba", "Cd", "Cl"],
  "frac_coords": [[0.000, 0.000, 0.000], [0.500, 0.500, 0.500], [0.750, 0.750, 0.750]],
  "magmom_total_mub_per_cell": 0.757
}

Arrangement ii

{
  "formula": "BaCdCl",
  "functional": "SCAN",
  "state": "single point on PBEsol structure",
  "lattice_angstrom": [[-4.039, -1.115, -2.011], [-2.172, -0.566, 4.677], [-0.098, 4.616, -2.363]],
  "species": ["Cl", "Cd", "Ba"],
  "frac_coords": [[0.166, 0.667, 0.333], [0.667, 0.333, 0.667], [0.167, 0.000, 0.000]],
  "magmom_total_mub_per_cell": 0.291
}

Q: Which of them is the least stable? A: arrangement i.